Compound: Y2Fe3Mo4C3
Source: OQMD via LeMat-Bulk
Functional: PBE-GGA
Structure: optimized geometry

Cell: 5.394 5.394 13.834 Å, 101.70 101.70 60.04°
Atoms (fractional coordinates):
Y1 0.044 0.878 0.625
Y2 0.122 0.956 0.875
Y3 0.878 0.044 0.125
Y4 0.956 0.122 0.375
Fe1 0.085 0.411 0.751
Fe2 0.411 0.085 0.251
Fe3 0.417 0.583 0.250
Fe4 0.583 0.417 0.750
Fe5 0.589 0.915 0.749
Fe6 0.915 0.589 0.249
Mo1 0.193 0.351 0.082
Mo2 0.294 0.485 0.418
Mo3 0.351 0.193 0.582
Mo4 0.485 0.294 0.918
Mo5 0.515 0.706 0.082
Mo6 0.649 0.807 0.418
Mo7 0.706 0.515 0.582
Mo8 0.807 0.649 0.918
C1 0.000 0.500 0.500
C2 0.173 0.655 0.000
C3 0.345 0.827 0.500
C4 0.500 0.000 0.000
C5 0.655 0.173 0.500
C6 0.827 0.345 0.000

- Space group: C2/c (15)
- Theoretical density: 7.5 g/cm³
- Crystal system: monoclinic



Compound: Zr4Fe3Mo2C3
Source: OQMD via LeMat-Bulk
Functional: PBE-GGA
Structure: optimized geometry

Cell: 5.440 5.440 13.862 Å, 100.88 100.88 60.03°
Atoms (fractional coordinates):
Zr1 0.035 0.872 0.614
Zr2 0.128 0.965 0.886
Zr3 0.191 0.363 0.094
Zr4 0.363 0.191 0.594
Zr5 0.637 0.809 0.406
Zr6 0.809 0.637 0.906
Zr7 0.872 0.035 0.114
Zr8 0.965 0.128 0.386
Fe1 0.086 0.406 0.750
Fe2 0.406 0.086 0.250
Fe3 0.424 0.576 0.250
Fe4 0.576 0.424 0.750
Fe5 0.594 0.914 0.750
Fe6 0.914 0.594 0.250
Mo1 0.299 0.476 0.417
Mo2 0.476 0.299 0.917
Mo3 0.524 0.701 0.083
Mo4 0.701 0.524 0.583
C1 0.000 0.500 0.500
C2 0.177 0.673 0.000
C3 0.327 0.823 0.500
C4 0.500 0.000 0.000
C5 0.673 0.177 0.500
C6 0.823 0.327 0.000

- Space group: C2/c (15)
- Theoretical density: 7.3 g/cm³
- Crystal system: monoclinic



no.,energy (eV per formula unit)
1,-110.57
2,-111.61